Ba3Hg7Bi2: optimized geometry, GGA-PBE.

Values from the calculation:
The formation energy is -0.45 eV/atom. The density of states at the Fermi level comes out at 5.809 states/eV/f.u.

Cell: 5.2201 6.5889 12.2612 Å, 101.50 102.01 90.21°
Space group P-1 (No. 2)
One atom of each set of equivalent atoms:
Ba: 0.0000 0.0000 0.0000
Ba: 0.3278 0.1964 0.6592
Hg: 0.0802 0.5921 0.1586
Hg: 0.1724 0.1678 0.3406
Hg: 0.2527 0.6530 0.5054
Hg: 0.5000 0.5000 0.0000
Bi: 0.3999 0.7408 0.8011

---

RbSb3O: optimized geometry, GGA-PBE.

Values from the calculation:
For the total energy, the calculation gives -8.88 eV per cell. The density of states at the Fermi level comes out at 10.943 states/eV/f.u.

Cell: 6.2249 6.2249 6.2249 Å, 90.00 90.00 90.00°
Space group Pm-3m (No. 221)
One atom of each set of equivalent atoms:
Rb: 0.0000 0.0000 0.0000
Sb: 0.0000 0.0000 0.5000
O: 0.5000 0.5000 0.5000

---

Zn2Co2Si: optimized geometry, GGA-PBE.

Values from the calculation:
For the total energy, the calculation gives -46.09 eV per cell. The density of states at the Fermi level comes out at 3.502 states/eV/f.u.

Cell: 5.7305 5.7305 3.9191 Å, 90.00 90.00 90.00°
Space group P4/mbm (No. 127)
One atom of each set of equivalent atoms:
Zn: 0.1594 0.3406 0.0000
Co: 0.1460 0.6460 0.5000
Si: 0.0000 0.0000 0.5000

---

TlIn8Sn2: optimized geometry, GGA-PBE.

Values from the calculation:
The formation energy is 0.04 eV/atom. The density of states at the Fermi level comes out at 3.951 states/eV/f.u.

Cell: 17.7491 6.2841 5.7486 Å, 90.00 101.99 90.00°
Space group C2/m (No. 12)
One atom of each set of equivalent atoms:
Tl: 0.0000 0.0000 0.0000
In: 0.0905 0.2474 0.5220
In: 0.0917 0.5000 0.0051
In: 0.1912 0.0000 0.0420
Sn: 0.2420 0.5000 0.4189

---

La2MgGaC: optimized geometry, GGA-PBE.

Values from the calculation:
The formation energy is 0.86 eV/atom. The density of states at the Fermi level comes out at 4.982 states/eV/f.u.

Cell: 6.3001 6.3001 3.9579 Å, 90.00 90.00 90.00°
Space group P4/mmm (No. 123)
One atom of each set of equivalent atoms:
La: 0.0000 0.5000 0.0000
Mg: 0.0000 0.0000 0.0000
Ga: 0.5000 0.5000 0.5000
C: 0.0000 0.0000 0.5000

---

Cs3TlHg9Pt2: optimized geometry, GGA-PBE.

Values from the calculation:
The formation energy is -0.22 eV/atom. The density of states at the Fermi level comes out at 4.748 states/eV/f.u.

Cell: 7.9326 7.9326 9.7667 Å, 90.00 90.00 120.00°
Space group P-3m1 (No. 164)
One atom of each set of equivalent atoms:
Cs: 0.0000 0.0000 0.0000
Cs: 0.3333 0.6667 0.6685
Tl: 0.0000 0.0000 0.5000
Hg: 0.0000 0.5000 0.0000
Hg: 0.1772 0.3544 0.3186
Pt: 0.3333 0.6667 0.1475

---

V2FeNi: optimized geometry, GGA-PBE.

Values from the calculation:
The formation energy is -0.10 eV/atom. The density of states at the Fermi level comes out at 5.496 states/eV/f.u.

Cell: 3.6911 3.6911 3.4805 Å, 90.00 90.00 90.00°
Space group P4/mmm (No. 123)
One atom of each set of equivalent atoms:
V: 0.0000 0.5000 0.0000
Fe: 0.0000 0.0000 0.5000
Ni: 0.5000 0.5000 0.5000

---

TbZnGa2Cu4: optimized geometry, GGA-PBE.

Values from the calculation:
The formation energy is -0.22 eV/atom. The density of states at the Fermi level comes out at 4.435 states/eV/f.u.

Cell: 4.1767 4.1767 24.9617 Å, 90.00 90.00 120.00°
Space group R-3m (No. 166, hexagonal axes)
One atom of each set of equivalent atoms:
Tb: 0.0000 0.0000 0.0000
Zn: 0.0000 0.0000 0.5000
Ga: 0.0000 0.0000 0.2467
Cu: 0.0000 0.0000 0.1334
Cu: 0.0000 0.0000 0.4027

---

NiPd2Rh: optimized geometry, GGA-PBE.

Values from the calculation:
The formation energy is 0.08 eV/atom. The density of states at the Fermi level comes out at 6.106 states/eV/f.u.

Cell: 2.7375 2.7375 7.5652 Å, 90.00 90.00 90.00°
Space group P4/mmm (No. 123)
One atom of each set of equivalent atoms:
Ni: 0.0000 0.0000 0.0000
Pd: 0.5000 0.5000 0.2369
Rh: 0.0000 0.0000 0.5000

---

Ho8Er2Zn: optimized geometry, GGA-PBE.

Values from the calculation:
The formation energy is -0.02 eV/atom. The density of states at the Fermi level comes out at 15.477 states/eV/f.u.

Cell: 18.9244 5.4556 6.3156 Å, 90.00 94.24 90.00°
Space group C2/m (No. 12)
One atom of each set of equivalent atoms:
Ho: 0.0427 0.0000 0.2555
Ho: 0.0778 0.5000 0.6079
Ho: 0.1562 0.0000 0.8062
Ho: 0.1560 0.5000 0.1234
Er: 0.2414 0.0000 0.3313
Zn: 0.0000 0.5000 0.0000

---

Pr7Hg2Ru2: optimized geometry, GGA-PBE.

Values from the calculation:
The formation energy is -0.19 eV/atom. The density of states at the Fermi level comes out at 11.598 states/eV/f.u.

Cell: 8.1770 11.4567 7.3313 Å, 90.00 90.00 90.00°
Space group Cmmm (No. 65)
One atom of each set of equivalent atoms:
Pr: 0.0000 0.0000 0.0000
Pr: 0.0000 0.5000 0.2434
Pr: 0.2500 0.2500 0.2544
Hg: 0.1764 0.0000 0.5000
Ru: 0.0000 0.2968 0.0000

---

Tb2Nd5Tm3: optimized geometry, GGA-PBE.

Values from the calculation:
The formation energy is 0.38 eV/atom. The density of states at the Fermi level comes out at 13.962 states/eV/f.u.

Cell: 9.4213 13.6460 10.9578 Å, 90.00 90.00 90.00°
Space group Ibam (No. 72)
One atom of each set of equivalent atoms:
Tb: 0.0904 0.1189 0.0000
Nd: 0.0000 0.2464 0.2500
Nd: 0.0000 0.5000 0.2500
Nd: 0.1024 0.3718 0.5000
Tm: 0.0000 0.0000 0.2500
Tm: 0.2495 0.3761 0.0000

---

PmGa3Au6: optimized geometry, GGA-PBE.

Values from the calculation:
The formation energy is -0.18 eV/atom. The density of states at the Fermi level comes out at 2.020 states/eV/f.u.

Cell: 12.4061 12.4061 5.0937 Å, 90.00 90.00 120.00°
Space group R3m (No. 160, hexagonal axes)
One atom of each set of equivalent atoms:
Pm: 0.0000 0.0000 0.0000
Ga: 0.0255 0.5128 0.3790
Au: 0.0711 0.5356 0.8770
Au: 0.1567 0.0783 0.5176

---

Tl2HOsO6: optimized geometry, GGA-PBE.

Values from the calculation:
For the total energy, the calculation gives -57.60 eV per cell. The density of states at the Fermi level comes out at 2.607 states/eV/f.u.

Cell: 5.9391 6.0722 6.3025 Å, 86.37 70.18 62.51°
Space group P1 (No. 1)
One atom of each set of equivalent atoms:
Tl: 0.0000 0.0000 0.0000
Tl: 0.1185 0.4040 0.5064
H: 0.6207 0.4676 0.7522
Os: 0.4140 0.7761 0.3916
O: 0.2655 0.6407 0.2561
O: 0.2714 0.0530 0.2450
O: 0.3076 0.6160 0.6379
O: 0.3650 0.0019 0.6095
O: 0.7623 0.6093 0.2581
O: 0.7878 0.4045 0.7881

---

Th2Zn3Ga: optimized geometry, GGA-PBE.

Values from the calculation:
The formation energy is -0.37 eV/atom. The density of states at the Fermi level comes out at 4.920 states/eV/f.u.

Cell: 7.5719 8.9831 15.5332 Å, 90.00 90.00 90.00°
Space group Fmmm (No. 69)
One atom of each set of equivalent atoms:
Th: 0.2465 0.0000 0.0000
Th: 0.2500 0.2500 0.2500
Zn: 0.0000 0.0000 0.1664
Zn: 0.0000 0.2494 0.4169
Ga: 0.0000 0.0000 0.3340

---

Pr4AlSi2: optimized geometry, GGA-PBE.

Values from the calculation:
For the total energy, the calculation gives -108.87 eV per cell. The density of states at the Fermi level comes out at 7.292 states/eV/f.u.

Cell: 5.0125 5.0125 28.0037 Å, 90.00 90.00 120.00°
Space group R-3m (No. 166, hexagonal axes)
One atom of each set of equivalent atoms:
Pr: 0.0000 0.0000 0.1204
Pr: 0.0000 0.0000 0.2934
Al: 0.0000 0.0000 0.5000
Si: 0.0000 0.0000 0.4056

---

Zn3Rh2: optimized geometry, GGA-PBE.

Values from the calculation:
The formation energy is -0.39 eV/atom. The density of states at the Fermi level comes out at 1.312 states/eV/f.u.

Cell: 6.6368 6.6368 3.1772 Å, 90.00 90.00 90.00°
Space group P4/m (No. 83)
One atom of each set of equivalent atoms:
Zn: 0.0000 0.0000 0.0000
Zn: 0.1014 0.6798 0.5000
Zn: 0.5000 0.5000 0.5000
Rh: 0.1989 0.3782 0.0000

---

CrRu2Se: optimized geometry, GGA-PBE.

Values from the calculation:
For the total energy, the calculation gives -59.77 eV per cell. The density of states at the Fermi level comes out at 5.897 states/eV/f.u.

Cell: 5.3077 8.6570 2.9456 Å, 90.00 119.13 90.00°
Space group C2/m (No. 12)
One atom of each set of equivalent atoms:
Cr: 0.0000 0.0000 0.0000
Ru: 0.2500 0.2500 0.5000
Se: 0.0000 0.5000 0.0000

---

RbNiAu3: optimized geometry, GGA-PBE.

Values from the calculation:
The formation energy is 0.18 eV/atom. The density of states at the Fermi level comes out at 3.789 states/eV/f.u.

Cell: 4.9921 4.9921 4.9921 Å, 90.00 90.00 90.00°
Space group Pm-3m (No. 221)
One atom of each set of equivalent atoms:
Rb: 0.0000 0.0000 0.0000
Ni: 0.5000 0.5000 0.5000
Au: 0.0000 0.5000 0.5000

---

CsGe2Te2: optimized geometry, GGA-PBE.

Values from the calculation:
For the total energy, the calculation gives -34.38 eV per cell. The density of states at the Fermi level comes out at 2.029 states/eV/f.u.

Cell: 9.4188 9.4188 3.9148 Å, 90.00 90.00 90.00°
Space group P4/mbm (No. 127)
One atom of each set of equivalent atoms:
Cs: 0.0000 0.0000 0.0000
Ge: 0.0950 0.4050 0.0000
Te: 0.1484 0.6484 0.5000